The following is a PBE calculation of an optimized crystal structure of TcB3Os, from Alexandria.

POSCAR file:
```
TcB3Os
1.0
3.955 0.000 0.000
0.000 3.955 0.000
0.000 0.000 3.955
Tc B Os
1 3 1
direct
0.000 0.000 0.000
0.000 0.000 0.500
0.000 0.500 0.000
0.500 0.000 0.000
0.500 0.500 0.500
```

Density of states at the Fermi level = 2.5 states/eV/f.u.
Space-group type = No. 221
Distance to the lowest polymorph of the same formula = 431 meV per atom
Formation energy = 1704 meV per atom
Calculated total energy = -6.62 eV/atom



The following is a PBE calculation of an optimized crystal structure of Li5MnN3, from Alexandria.

POSCAR file:
```
Li5MnN3
1.0
5.342 -2.411 0.000
5.342 2.411 0.000
-2.116 0.000 6.414
Li Mn N
10 2 6
direct
0.062 0.590 0.899
0.091 0.581 0.435
0.230 0.770 0.750
0.410 0.938 0.601
0.419 0.909 0.065
0.581 0.091 0.935
0.590 0.062 0.399
0.770 0.230 0.250
0.909 0.419 0.565
0.938 0.410 0.101
0.267 0.733 0.250
0.733 0.267 0.750
0.103 0.194 0.821
0.194 0.103 0.321
0.500 0.500 0.000
0.500 0.500 0.500
0.806 0.897 0.679
0.897 0.806 0.179
```

Energy relative to the elements, uncorrected = -44.6 kJ per mole of atoms
Density of states at the Fermi level = 1.4 states/eV/f.u.
Space-group type = No. 15
Calculated total energy = -5.32 eV/atom



The following is a PBE calculation of an optimized crystal structure of ScCoTc2, from Alexandria.

POSCAR file:
```
ScCoTc2
1.0
5.113 0.000 0.000
0.000 8.468 0.000
0.000 0.000 2.751
Sc Co Tc
2 2 4
direct
0.000 0.000 0.000
0.500 0.500 0.000
0.000 0.500 0.000
0.500 0.000 0.000
0.250 0.250 0.500
0.250 0.750 0.500
0.750 0.250 0.500
0.750 0.750 0.500
```

Density of states at the Fermi level = 5.1 states/eV/f.u.
Space-group type = No. 65
Distance to the lowest polymorph of the same formula = 266 meV per atom
Formation energy = 171 meV per atom
Calculated total energy = -8.37 eV/atom



The following is a PBE calculation of an optimized crystal structure of NdTlTeO6, from Alexandria.

POSCAR file:
```
NdTlTeO6
1.0
5.564 0.000 0.000
-2.782 4.818 0.000
0.000 0.000 9.988
Nd Tl Te O
2 2 2 12
direct
0.000 0.000 0.000
0.000 0.000 0.500
0.333 0.667 0.250
0.667 0.333 0.750
0.333 0.667 0.750
0.667 0.333 0.250
0.044 0.378 0.637
0.044 0.666 0.863
0.334 0.378 0.863
0.334 0.956 0.637
0.378 0.044 0.137
0.378 0.334 0.363
0.622 0.666 0.637
0.622 0.956 0.863
0.666 0.044 0.363
0.666 0.622 0.137
0.956 0.334 0.137
0.956 0.622 0.363
```

Energy relative to the elements, uncorrected = -156.7 kJ per mole of atoms
Density of states at the Fermi level = 0.0 states/eV/f.u.
Space-group type = No. 163
Calculated total energy = -6.07 eV/atom



The following is a PBE calculation of an optimized crystal structure of FeNiOs2, from Alexandria.

POSCAR file:
```
FeNiOs2
1.0
3.743 0.000 0.000
0.000 3.743 0.000
0.000 0.000 3.658
Fe Ni Os
1 1 2
direct
0.000 0.000 0.000
0.500 0.500 0.000
0.000 0.500 0.500
0.500 0.000 0.500
```

Density of states at the Fermi level = 3.7 states/eV/f.u.
Space-group type = No. 123
Distance to the lowest polymorph of the same formula = 58 meV per atom
Formation energy = 161 meV per atom
Calculated total energy = -9.01 eV/atom



The following is a PBE calculation of an optimized crystal structure of SrScOs, from Alexandria.

POSCAR file:
```
SrScOs
1.0
6.726 0.000 0.000
0.000 6.726 0.000
0.000 0.000 6.726
Sr Sc Os
4 4 4
direct
0.000 0.000 0.000
0.000 0.500 0.500
0.500 0.000 0.500
0.500 0.500 0.000
0.250 0.250 0.750
0.250 0.750 0.250
0.750 0.250 0.250
0.750 0.750 0.750
0.250 0.250 0.250
0.250 0.750 0.750
0.750 0.250 0.750
0.750 0.750 0.250
```

Density of states at the Fermi level = 2.7 states/eV/f.u.
Space-group type = No. 216
Distance to the lowest polymorph of the same formula = 1370 meV per atom
Formation energy = 1507 meV per atom
Calculated total energy = -4.91 eV/atom



The following is a PBE calculation of an optimized crystal structure of Nd12Tl3Cu, from Alexandria.

POSCAR file:
```
Nd12Tl3Cu
1.0
4.983 0.000 0.000
0.000 4.983 0.000
0.000 0.000 19.665
Nd Tl Cu
12 3 1
direct
0.000 0.000 0.000
0.000 0.000 0.242
0.000 0.000 0.500
0.000 0.000 0.758
0.000 0.500 0.117
0.000 0.500 0.372
0.000 0.500 0.628
0.000 0.500 0.883
0.500 0.000 0.117
0.500 0.000 0.372
0.500 0.000 0.628
0.500 0.000 0.883
0.500 0.500 0.245
0.500 0.500 0.500
0.500 0.500 0.755
0.500 0.500 0.000
```

Density of states at the Fermi level = 22.6 states/eV/f.u.
Space-group type = No. 123
Formation energy = -121 meV per atom
Calculated total energy = -4.40 eV/atom



The following is a PBE calculation of an optimized crystal structure of Li3Pm3TcO8, from Alexandria.

POSCAR file:
```
Li3Pm3TcO8
1.0
3.431 1.981 4.968
-3.431 1.981 4.968
0.000 -3.962 4.968
Li Pm Tc O
3 3 1 8
direct
0.000 0.500 0.500
0.500 0.000 0.500
0.500 0.500 0.000
0.000 0.000 0.500
0.000 0.500 0.000
0.500 0.000 0.000
0.500 0.500 0.500
0.246 0.246 0.246
0.277 0.277 0.718
0.277 0.718 0.277
0.282 0.723 0.723
0.718 0.277 0.277
0.723 0.282 0.723
0.723 0.723 0.282
0.754 0.754 0.754
```

Energy relative to the elements, uncorrected = -233.6 kJ per mole of atoms
Space-group type = No. 166
Calculated total energy = -7.09 eV/atom



The following is a PBE calculation of an optimized crystal structure of Pr5B2N5, from Alexandria.

POSCAR file:
```
Pr5B2N5
1.0
7.330 -1.793 0.000
7.330 1.793 0.000
-2.684 0.000 7.692
Pr B N
5 2 5
direct
0.000 0.000 0.000
0.136 0.136 0.452
0.253 0.253 0.850
0.747 0.747 0.150
0.864 0.864 0.548
0.466 0.466 0.309
0.534 0.534 0.691
0.269 0.269 0.357
0.399 0.399 0.142
0.500 0.500 0.500
0.601 0.601 0.858
0.731 0.731 0.643
```

Energy relative to the elements, uncorrected = -68.6 kJ per mole of atoms
Density of states at the Fermi level = 4.6 states/eV/f.u.
Space-group type = No. 12
Calculated total energy = -7.28 eV/atom



The following is a PBE calculation of an optimized crystal structure of ThPaTcPd, from Alexandria.

POSCAR file:
```
ThPaTcPd
1.0
7.058 0.000 0.000
0.000 7.058 0.000
0.000 0.000 7.058
Th Pa Tc Pd
4 4 4 4
direct
0.000 0.000 0.000
0.000 0.500 0.500
0.500 0.000 0.500
0.500 0.500 0.000
0.000 0.000 0.500
0.000 0.500 0.000
0.500 0.000 0.000
0.500 0.500 0.500
0.250 0.250 0.750
0.250 0.750 0.250
0.750 0.250 0.250
0.750 0.750 0.750
0.250 0.250 0.250
0.250 0.750 0.750
0.750 0.250 0.750
0.750 0.750 0.250
```

Density of states at the Fermi level = 6.1 states/eV/f.u.
Space-group type = No. 216
Formation energy = -265 meV per atom
Calculated total energy = -8.38 eV/atom



The following is a PBE calculation of an optimized crystal structure of Ca2RuCl, from Alexandria.

POSCAR file:
```
Ca2RuCl
1.0
4.773 0.000 0.000
0.000 4.786 0.000
0.000 0.000 7.750
Ca Ru Cl
4 2 2
direct
0.000 0.000 0.227
0.000 0.000 0.773
0.500 0.500 0.227
0.500 0.500 0.773
0.000 0.500 0.000
0.500 0.000 0.000
0.000 0.500 0.500
0.500 0.000 0.500
```

Energy relative to the elements, uncorrected = -61.9 kJ per mole of atoms
Density of states at the Fermi level = 3.7 states/eV/f.u.
Space-group type = No. 65
Distance to the lowest polymorph of the same formula = 0 meV per atom
Calculated total energy = -4.42 eV/atom



The following is a PBE calculation of an optimized crystal structure of VRe2Mo6, from Alexandria.

POSCAR file:
```
VRe2Mo6
1.0
4.658 -2.615 0.000
4.658 2.615 0.000
-3.387 0.000 6.010
V Re Mo
1 2 6
direct
0.000 0.000 0.000
0.361 0.361 0.832
0.639 0.639 0.168
0.155 0.651 0.243
0.226 0.226 0.414
0.349 0.845 0.757
0.651 0.155 0.243
0.774 0.774 0.586
0.845 0.349 0.757
```

Density of states at the Fermi level = 6.7 states/eV/f.u.
Space-group type = No. 12
Distance to the lowest polymorph of the same formula = 233 meV per atom
Formation energy = 348 meV per atom
Calculated total energy = -10.65 eV/atom



The following is a PBE calculation of an optimized crystal structure of NaTi2Pd, from Alexandria.

POSCAR file:
```
NaTi2Pd
1.0
6.532 0.000 0.000
0.000 6.532 0.000
0.000 0.000 6.532
Na Ti Pd
4 8 4
direct
0.000 0.000 0.000
0.000 0.500 0.500
0.500 0.000 0.500
0.500 0.500 0.000
0.250 0.250 0.250
0.250 0.250 0.750
0.250 0.750 0.250
0.250 0.750 0.750
0.750 0.250 0.250
0.750 0.250 0.750
0.750 0.750 0.250
0.750 0.750 0.750
0.000 0.000 0.500
0.000 0.500 0.000
0.500 0.000 0.000
0.500 0.500 0.500
```

Density of states at the Fermi level = 6.1 states/eV/f.u.
Space-group type = No. 225
Distance to the lowest polymorph of the same formula = 0 meV per atom
Formation energy = 282 meV per atom
Calculated total energy = -5.29 eV/atom



The following is a PBE calculation of an optimized crystal structure of Na3Si2SnAu9, from Alexandria.

POSCAR file:
```
Na3Si2SnAu9
1.0
7.267 0.000 0.000
-3.634 6.294 0.000
0.000 0.000 7.890
Na Si Sn Au
3 2 1 9
direct
0.000 0.000 0.000
0.333 0.667 0.714
0.667 0.333 0.286
0.333 0.667 0.150
0.667 0.333 0.850
0.000 0.000 0.500
0.000 0.500 0.000
0.200 0.399 0.383
0.200 0.800 0.383
0.399 0.200 0.617
0.500 0.000 0.000
0.500 0.500 0.000
0.601 0.800 0.383
0.800 0.200 0.617
0.800 0.601 0.617
```

Energy relative to the elements, uncorrected = -12.9 kJ per mole of atoms
Density of states at the Fermi level = 4.0 states/eV/f.u.
Space-group type = No. 164
Calculated total energy = -3.35 eV/atom



The following is a PBE calculation of an optimized crystal structure of Nd6SmY2Tm, from Alexandria.

POSCAR file:
```
Nd6SmY2Tm
1.0
4.705 -7.660 0.000
4.705 7.660 0.000
-1.021 0.000 9.533
Nd Sm Y Tm
12 2 4 2
direct
0.005 0.562 0.188
0.116 0.763 0.557
0.237 0.884 0.943
0.293 0.518 0.384
0.438 0.995 0.312
0.482 0.707 0.116
0.518 0.293 0.884
0.562 0.005 0.688
0.707 0.482 0.616
0.763 0.116 0.057
0.884 0.237 0.443
0.995 0.438 0.812
0.031 0.969 0.250
0.969 0.031 0.750
0.204 0.300 0.049
0.300 0.204 0.549
0.700 0.796 0.451
0.796 0.700 0.951
0.412 0.588 0.750
0.588 0.412 0.250
```

Density of states at the Fermi level = 14.8 states/eV/f.u.
Space-group type = No. 15
Formation energy = 117 meV per atom
Calculated total energy = -4.96 eV/atom



The following is a PBE calculation of an optimized crystal structure of Tl4AgRh, from Alexandria.

POSCAR file:
```
Tl4AgRh
1.0
0.000 4.322 4.322
4.322 0.000 4.322
4.322 4.322 0.000
Tl Ag Rh
4 1 1
direct
0.125 0.125 0.125
0.125 0.125 0.624
0.125 0.624 0.125
0.624 0.125 0.125
0.750 0.750 0.750
0.500 0.500 0.500
```

Density of states at the Fermi level = 5.4 states/eV/f.u.
Space-group type = No. 216
Formation energy = 683 meV per atom
Calculated total energy = -2.60 eV/atom



The following is a PBE calculation of an optimized crystal structure of Rb4Pr3SnTe8, from Alexandria.

POSCAR file:
```
Rb4Pr3SnTe8
1.0
4.662 2.691 8.565
-4.662 2.691 8.565
0.000 -5.383 8.565
Rb Pr Sn Te
4 3 1 8
direct
0.000 0.000 0.000
0.000 0.500 0.500
0.500 0.000 0.500
0.500 0.500 0.000
0.000 0.000 0.500
0.000 0.500 0.000
0.500 0.000 0.000
0.500 0.500 0.500
0.236 0.236 0.236
0.241 0.730 0.730
0.270 0.270 0.759
0.270 0.759 0.270
0.730 0.241 0.730
0.730 0.730 0.241
0.759 0.270 0.270
0.764 0.764 0.764
```

Energy relative to the elements, uncorrected = -113.9 kJ per mole of atoms
Density of states at the Fermi level = 3.2 states/eV/f.u.
Space-group type = No. 166
Calculated total energy = -4.14 eV/atom



The following is a PBE calculation of an optimized crystal structure of LiZnCr2, from Alexandria.

POSCAR file:
```
LiZnCr2
1.0
2.422 0.000 0.000
0.000 4.354 0.000
-0.905 0.000 4.628
Li Zn Cr
1 1 2
direct
0.000 0.000 0.000
0.000 0.000 0.500
0.489 0.500 0.238
0.511 0.500 0.762
```

Density of states at the Fermi level = 2.1 states/eV/f.u.
Space-group type = No. 10
Distance to the lowest polymorph of the same formula = 141 meV per atom
Formation energy = 316 meV per atom
Calculated total energy = -5.29 eV/atom



The following is a PBE calculation of an optimized crystal structure of AcPPd, from Alexandria.

POSCAR file:
```
AcPPd
1.0
7.283 0.000 0.000
0.000 4.206 0.000
-2.405 0.000 9.849
Ac P Pd
4 4 4
direct
0.000 0.000 0.000
0.000 0.499 0.500
0.500 0.500 0.000
0.500 0.999 0.500
0.100 0.500 0.800
0.400 0.000 0.200
0.600 0.000 0.800
0.900 0.500 0.200
0.247 0.500 0.243
0.253 0.000 0.757
0.747 0.000 0.243
0.753 0.500 0.757
```

Density of states at the Fermi level = 1.9 states/eV/f.u.
Space-group type = No. 5
Distance to the lowest polymorph of the same formula = 309 meV per atom
Formation energy = -922 meV per atom
Calculated total energy = -5.83 eV/atom



The following is a PBE calculation of an optimized crystal structure of La3AuC, from Alexandria.

POSCAR file:
```
La3AuC
1.0
6.020 -2.701 0.000
6.020 2.701 0.000
-2.313 0.000 8.111
La Au C
6 2 2
direct
0.093 0.093 0.199
0.160 0.160 0.635
0.359 0.359 0.083
0.641 0.641 0.917
0.840 0.840 0.365
0.907 0.907 0.801
0.411 0.411 0.586
0.589 0.589 0.414
0.130 0.130 0.914
0.870 0.870 0.086
```

Density of states at the Fermi level = 4.5 states/eV/f.u.
Space-group type = No. 12
Distance to the lowest polymorph of the same formula = 49 meV per atom
Formation energy = -331 meV per atom
Calculated total energy = -5.79 eV/atom



The following is a PBE calculation of an optimized crystal structure of TmTlCd, from Alexandria.

POSCAR file:
```
TmTlCd
1.0
4.973 0.000 0.000
0.000 6.993 0.000
0.000 0.000 8.666
Tm Tl Cd
4 4 4
direct
0.000 0.000 0.000
0.000 0.500 0.006
0.500 0.000 0.506
0.500 0.500 0.500
0.000 0.259 0.336
0.000 0.741 0.336
0.500 0.241 0.836
0.500 0.759 0.836
0.000 0.274 0.670
0.000 0.726 0.670
0.500 0.226 0.170
0.500 0.774 0.170
```

Density of states at the Fermi level = 1.9 states/eV/f.u.
Space-group type = No. 44
Formation energy = -209 meV per atom
Calculated total energy = -2.79 eV/atom



The following is a PBE calculation of an optimized crystal structure of ZrTl2IrI, from Alexandria.

POSCAR file:
```
ZrTl2IrI
1.0
6.076 0.000 0.000
0.000 6.076 0.000
0.000 0.000 4.806
Zr Tl Ir I
1 2 1 1
direct
0.000 0.000 0.000
0.000 0.500 0.000
0.500 0.000 0.000
0.000 0.000 0.500
0.500 0.500 0.500
```

Energy relative to the elements, uncorrected = 57.9 kJ per mole of atoms
Density of states at the Fermi level = 5.1 states/eV/f.u.
Space-group type = No. 123
Calculated total energy = -4.14 eV/atom



The following is a PBE calculation of an optimized crystal structure of Ba2As2Ir, from Alexandria.

POSCAR file:
```
Ba2As2Ir
1.0
6.876 0.000 0.000
0.000 6.876 0.000
0.000 0.000 5.291
Ba As Ir
4 4 2
direct
0.175 0.325 0.000
0.325 0.825 0.000
0.675 0.175 0.000
0.825 0.675 0.000
0.141 0.641 0.500
0.359 0.141 0.500
0.641 0.859 0.500
0.859 0.359 0.500
0.000 0.000 0.500
0.500 0.500 0.500
```

Density of states at the Fermi level = 3.3 states/eV/f.u.
Space-group type = No. 127
Formation energy = -542 meV per atom
Calculated total energy = -4.94 eV/atom